i:
Below is an optimized crystal structure of Dy2Ho5Tm12, with properties calculated at the PBE level.

CIF file:
```
data_Dy2Ho5Tm12
_chemical_formula_sum 'Dy2 Ho5 Tm12'
_symmetry_space_group_name_H-M 'P -1'
_symmetry_Int_Tables_number 2
_symmetry_space_group_name_Hall '-P 1'
_cell_length_a 6.0557
_cell_length_b 9.2544
_cell_length_c 10.4881
_cell_angle_alpha 100.99
_cell_angle_beta 95.59
_cell_angle_gamma 90.13
loop_
_atom_site_label
_atom_site_type_symbol
_atom_site_fract_x
_atom_site_fract_y
_atom_site_fract_z
_atom_site_occupancy
Dy1 Dy 0.0793 0.3159 0.4736 1
Ho1 Ho 0.2371 0.9472 0.4210 1
Ho2 Ho 0.3418 0.3683 0.0524 1
Ho3 Ho 0.5000 0.0000 0.0000 1
Tm1 Tm 0.0259 0.1051 0.1574 1
Tm2 Tm 0.1316 0.5263 0.7898 1
Tm3 Tm 0.1840 0.7367 0.1050 1
Tm4 Tm 0.2895 0.1581 0.7372 1
Tm5 Tm 0.3951 0.5788 0.3683 1
Tm6 Tm 0.4471 0.7895 0.6844 1
```

As for the volume: 574 Å³/cell. The calculation puts the density of states at the Fermi level at 26.38 states/eV/cell.

---

ii:
Below is an optimized crystal structure of Dy2Ho5Tm12, with properties calculated at the PBE level.

CIF file:
```
data_Dy2Ho5Tm12
_chemical_formula_sum 'Dy4 Ho10 Tm24'
_symmetry_space_group_name_H-M 'C 1 2/m 1'
_symmetry_Int_Tables_number 12
_symmetry_space_group_name_Hall '-C 2y'
_cell_length_a 15.5315
_cell_length_b 9.0898
_cell_length_c 8.3775
_cell_angle_alpha 90.00
_cell_angle_beta 91.19
_cell_angle_gamma 90.00
loop_
_atom_site_label
_atom_site_type_symbol
_atom_site_fract_x
_atom_site_fract_y
_atom_site_fract_z
_atom_site_occupancy
Dy1 Dy 0.0000 0.1800 0.0000 1
Ho1 Ho 0.0000 0.5000 0.5000 1
Ho2 Ho 0.1987 0.0000 0.0092 1
Ho3 Ho 0.2328 0.5000 0.5751 1
Tm1 Tm 0.0567 0.0000 0.3322 1
Tm2 Tm 0.0911 0.5000 0.8839 1
Tm3 Tm 0.1271 0.1925 0.6590 1
Tm4 Tm 0.1550 0.3186 0.2443 1
```

As for the volume: 1182 Å³/cell. The calculation puts the density of states at the Fermi level at 56.49 states/eV/cell.

---

Relative energies with respect to the most stable structure, expressed in meV per atom: i 0; ii 104.

---

i:
Below is an optimized crystal structure of Dy3Ho5Tm2, with properties calculated at the PBE level.

CIF file:
```
data_Dy3Ho5Tm2
_chemical_formula_sum 'Dy12 Ho20 Tm8'
_symmetry_space_group_name_H-M 'I b a m'
_symmetry_Int_Tables_number 72
_symmetry_space_group_name_Hall '-I 2 2c'
_cell_length_a 12.6860
_cell_length_b 16.7666
_cell_length_c 6.2019
_cell_angle_alpha 90.00
_cell_angle_beta 90.00
_cell_angle_gamma 90.00
loop_
_atom_site_label
_atom_site_type_symbol
_atom_site_fract_x
_atom_site_fract_y
_atom_site_fract_z
_atom_site_occupancy
Dy1 Dy 0.0000 0.0000 0.2500 1
Dy2 Dy 0.1592 0.2497 0.0000 1
Ho1 Ho 0.0000 0.5000 0.2500 1
Ho2 Ho 0.0993 0.3433 0.5000 1
Ho3 Ho 0.2497 0.0000 0.2500 1
Tm1 Tm 0.0988 0.1565 0.5000 1
```

As for the volume: 1319 Å³/cell. The calculation puts the density of states at the Fermi level at 63.17 states/eV/cell.

---

ii:
Below is an optimized crystal structure of Dy3Ho5Tm2, with properties calculated at the PBE level.

CIF file:
```
data_Dy3Ho5Tm2
_chemical_formula_sum 'Dy12 Ho20 Tm8'
_symmetry_space_group_name_H-M 'C 1 2/c 1'
_symmetry_Int_Tables_number 15
_symmetry_space_group_name_Hall '-C 2yc'
_cell_length_a 10.5670
_cell_length_b 15.5369
_cell_length_c 9.3721
_cell_angle_alpha 90.00
_cell_angle_beta 124.04
_cell_angle_gamma 90.00
loop_
_atom_site_label
_atom_site_type_symbol
_atom_site_fract_x
_atom_site_fract_y
_atom_site_fract_z
_atom_site_occupancy
Dy1 Dy 0.0000 0.2319 0.2500 1
Dy2 Dy 0.1421 0.1239 0.0458 1
Ho1 Ho 0.0000 0.0261 0.2500 1
Ho2 Ho 0.0000 0.2719 0.7500 1
Ho3 Ho 0.0000 0.4699 0.7500 1
Ho4 Ho 0.2355 0.3850 0.2237 1
Tm1 Tm 0.1555 0.3805 0.5479 1
```

As for the volume: 1275 Å³/cell. The calculation puts the density of states at the Fermi level at 71.44 states/eV/cell.

---

Relative energies with respect to the most stable structure, expressed in meV per atom: i 155; ii 0.

---

i:
Below is an optimized crystal structure of Dy2HoTm2, with properties calculated at the PBE level.

CIF file:
```
data_Dy2HoTm2
_chemical_formula_sum 'Dy4 Ho2 Tm4'
_symmetry_space_group_name_H-M 'P 4/m b m'
_symmetry_Int_Tables_number 127
_symmetry_space_group_name_Hall '-P 4 2ab'
_cell_length_a 9.1693
_cell_length_b 9.1693
_cell_length_c 3.6831
_cell_angle_alpha 90.00
_cell_angle_beta 90.00
_cell_angle_gamma 90.00
loop_
_atom_site_label
_atom_site_type_symbol
_atom_site_fract_x
_atom_site_fract_y
_atom_site_fract_z
_atom_site_occupancy
Dy1 Dy 0.1279 0.3721 0.0000 1
Ho1 Ho 0.0000 0.0000 0.0000 1
Tm1 Tm 0.1703 0.6703 0.5000 1
```

As for the volume: 310 Å³/cell. The calculation puts the density of states at the Fermi level at 7.61 states/eV/cell.

---

ii:
Below is an optimized crystal structure of Dy2HoTm2, with properties calculated at the PBE level.

CIF file:
```
data_Dy2HoTm2
_chemical_formula_sum 'Dy4 Ho2 Tm4'
_symmetry_space_group_name_H-M 'P -1'
_symmetry_Int_Tables_number 2
_symmetry_space_group_name_Hall '-P 1'
_cell_length_a 4.9635
_cell_length_b 6.0727
_cell_length_c 11.0979
_cell_angle_alpha 89.98
_cell_angle_beta 89.95
_cell_angle_gamma 65.88
loop_
_atom_site_label
_atom_site_type_symbol
_atom_site_fract_x
_atom_site_fract_y
_atom_site_fract_z
_atom_site_occupancy
Dy1 Dy 0.0498 0.4003 0.3504 1
Dy2 Dy 0.1497 0.2007 0.0502 1
Ho1 Ho 0.2499 0.0002 0.7494 1
Tm1 Tm 0.3498 0.8004 0.4500 1
Tm2 Tm 0.4497 0.6005 0.1503 1
```

As for the volume: 305 Å³/cell. The calculation puts the density of states at the Fermi level at 13.97 states/eV/cell.

---

Relative energies with respect to the most stable structure, expressed in meV per atom: i 69; ii 0.

---

i:
Below is an optimized crystal structure of Dy3Ho2Tm8, with properties calculated at the PBE level.

CIF file:
```
data_Dy3Ho2Tm8
_chemical_formula_sum 'Dy6 Ho4 Tm16'
_symmetry_space_group_name_H-M 'I m m m'
_symmetry_Int_Tables_number 71
_symmetry_space_group_name_Hall '-I 2 2'
_cell_length_a 5.5104
_cell_length_b 6.7426
_cell_length_c 21.8959
_cell_angle_alpha 90.00
_cell_angle_beta 90.00
_cell_angle_gamma 90.00
loop_
_atom_site_label
_atom_site_type_symbol
_atom_site_fract_x
_atom_site_fract_y
_atom_site_fract_z
_atom_site_occupancy
Dy1 Dy 0.0000 0.0000 0.0000 1
Dy2 Dy 0.0000 0.2336 0.5000 1
Ho1 Ho 0.0000 0.5000 0.2224 1
Tm1 Tm 0.0000 0.0000 0.1863 1
Tm2 Tm 0.0000 0.2384 0.3470 1
Tm3 Tm 0.0000 0.5000 0.0747 1
```

As for the volume: 814 Å³/cell. The calculation puts the density of states at the Fermi level at 41.84 states/eV/cell.

---

ii:
Below is an optimized crystal structure of Dy3Ho2Tm8, with properties calculated at the PBE level.

CIF file:
```
data_Dy3Ho2Tm8
_chemical_formula_sum 'Dy6 Ho4 Tm16'
_symmetry_space_group_name_H-M 'C m m m'
_symmetry_Int_Tables_number 65
_symmetry_space_group_name_Hall '-C 2 2'
_cell_length_a 7.5080
_cell_length_b 20.0558
_cell_length_c 5.5123
_cell_angle_alpha 90.00
_cell_angle_beta 90.00
_cell_angle_gamma 90.00
loop_
_atom_site_label
_atom_site_type_symbol
_atom_site_fract_x
_atom_site_fract_y
_atom_site_fract_z
_atom_site_occupancy
Dy1 Dy 0.0000 0.0000 0.0000 1
Dy2 Dy 0.2148 0.5000 0.5000 1
Ho1 Ho 0.0000 0.2413 0.0000 1
Tm1 Tm 0.0000 0.1332 0.5000 1
Tm2 Tm 0.0000 0.3328 0.5000 1
Tm3 Tm 0.2125 0.3907 0.0000 1
```

As for the volume: 830 Å³/cell. The calculation puts the density of states at the Fermi level at 46.00 states/eV/cell.

---

Relative energies with respect to the most stable structure, expressed in meV per atom: i 0; ii 89.

---

i:
Below is an optimized crystal structure of Dy2Ho7Tm2, with properties calculated at the PBE level.

CIF file:
```
data_Dy2Ho7Tm2
_chemical_formula_sum 'Dy4 Ho14 Tm4'
_symmetry_space_group_name_H-M 'C 1 2/m 1'
_symmetry_Int_Tables_number 12
_symmetry_space_group_name_Hall '-C 2y'
_cell_length_a 11.0381
_cell_length_b 11.3717
_cell_length_c 5.9763
_cell_angle_alpha 90.00
_cell_angle_beta 113.19
_cell_angle_gamma 90.00
loop_
_atom_site_label
_atom_site_type_symbol
_atom_site_fract_x
_atom_site_fract_y
_atom_site_fract_z
_atom_site_occupancy
Dy1 Dy 0.0000 0.2164 0.0000 1
Ho1 Ho 0.0000 0.0000 0.5000 1
Ho2 Ho 0.1744 0.2360 0.6749 1
Ho3 Ho 0.2321 0.0000 0.0855 1
Tm1 Tm 0.0888 0.5000 0.3035 1
```

As for the volume: 690 Å³/cell. The calculation puts the density of states at the Fermi level at 33.61 states/eV/cell.

---

ii:
Below is an optimized crystal structure of Dy2Ho7Tm2, with properties calculated at the PBE level.

CIF file:
```
data_Dy2Ho7Tm2
_chemical_formula_sum 'Dy4 Ho14 Tm4'
_symmetry_space_group_name_H-M 'C 1 2/m 1'
_symmetry_Int_Tables_number 12
_symmetry_space_group_name_Hall '-C 2y'
_cell_length_a 8.8586
_cell_length_b 9.3166
_cell_length_c 8.5411
_cell_angle_alpha 90.00
_cell_angle_beta 101.13
_cell_angle_gamma 90.00
loop_
_atom_site_label
_atom_site_type_symbol
_atom_site_fract_x
_atom_site_fract_y
_atom_site_fract_z
_atom_site_occupancy
Dy1 Dy 0.0000 0.1770 0.0000 1
Ho1 Ho 0.0000 0.5000 0.5000 1
Ho2 Ho 0.1524 0.5000 0.9083 1
Ho3 Ho 0.2354 0.1832 0.7082 1
Tm1 Tm 0.1050 0.0000 0.3563 1
```

As for the volume: 692 Å³/cell. The calculation puts the density of states at the Fermi level at 35.87 states/eV/cell.

---

Relative energies with respect to the most stable structure, expressed in meV per atom: i 52; ii 0.

---

i:
Below is an optimized crystal structure of Dy5HoTm2, with properties calculated at the PBE level.

CIF file:
```
data_Dy5HoTm2
_chemical_formula_sum 'Dy10 Ho2 Tm4'
_symmetry_space_group_name_H-M 'P b a m'
_symmetry_Int_Tables_number 55
_symmetry_space_group_name_Hall '-P 2 2ab'
_cell_length_a 7.0381
_cell_length_b 14.0762
_cell_length_c 4.9704
_cell_angle_alpha 90.00
_cell_angle_beta 90.00
_cell_angle_gamma 90.00
loop_
_atom_site_label
_atom_site_type_symbol
_atom_site_fract_x
_atom_site_fract_y
_atom_site_fract_z
_atom_site_occupancy
Dy1 Dy 0.0000 0.0000 0.0000 1
Dy2 Dy 0.9999 0.2501 0.0000 1
Dy3 Dy 0.2501 0.1249 0.5000 1
Ho1 Ho 0.0000 0.5000 0.0000 1
Tm1 Tm 0.2499 0.3752 0.5000 1
```

As for the volume: 492 Å³/cell. The calculation puts the density of states at the Fermi level at 18.38 states/eV/cell.

---

ii:
Below is an optimized crystal structure of Dy5HoTm2, with properties calculated at the PBE level.

CIF file:
```
data_Dy5HoTm2
_chemical_formula_sum 'Dy20 Ho4 Tm8'
_symmetry_space_group_name_H-M 'C m c m'
_symmetry_Int_Tables_number 63
_symmetry_space_group_name_Hall '-C 2c 2'
_cell_length_a 5.5746
_cell_length_b 16.2105
_cell_length_c 11.3093
_cell_angle_alpha 90.00
_cell_angle_beta 90.00
_cell_angle_gamma 90.00
loop_
_atom_site_label
_atom_site_type_symbol
_atom_site_fract_x
_atom_site_fract_y
_atom_site_fract_z
_atom_site_occupancy
Dy1 Dy 0.0000 0.0456 0.1122 1
Dy2 Dy 0.0000 0.3941 0.7500 1
Dy3 Dy 0.0000 0.4118 0.0797 1
Ho1 Ho 0.0000 0.2274 0.2500 1
Tm1 Tm 0.0000 0.2140 0.5794 1
```

As for the volume: 1022 Å³/cell. The calculation puts the density of states at the Fermi level at 49.34 states/eV/cell.

---

Relative energies with respect to the most stable structure, expressed in meV per atom: i 0; ii 122.

---

i:
Below is an optimized crystal structure of Dy2Ho3Tm5, with properties calculated at the PBE level.

CIF file:
```
data_Dy2Ho3Tm5
_chemical_formula_sum 'Dy8 Ho12 Tm20'
_symmetry_space_group_name_H-M 'I b a m'
_symmetry_Int_Tables_number 72
_symmetry_space_group_name_Hall '-I 2 2c'
_cell_length_a 12.6201
_cell_length_b 16.7923
_cell_length_c 6.1730
_cell_angle_alpha 90.00
_cell_angle_beta 90.00
_cell_angle_gamma 90.00
loop_
_atom_site_label
_atom_site_type_symbol
_atom_site_fract_x
_atom_site_fract_y
_atom_site_fract_z
_atom_site_occupancy
Dy1 Dy 0.1008 0.1566 0.0000 1
Ho1 Ho 0.0000 0.0000 0.2500 1
Ho2 Ho 0.1592 0.2496 0.5000 1
Tm1 Tm 0.0000 0.5000 0.2500 1
Tm2 Tm 0.0984 0.3440 0.0000 1
Tm3 Tm 0.2486 0.5000 0.2500 1
```

As for the volume: 1308 Å³/cell. The calculation puts the density of states at the Fermi level at 60.87 states/eV/cell.

---

ii:
Below is an optimized crystal structure of Dy2Ho3Tm5, with properties calculated at the PBE level.

CIF file:
```
data_Dy2Ho3Tm5
_chemical_formula_sum 'Dy8 Ho12 Tm20'
_symmetry_space_group_name_H-M 'C 1 2/c 1'
_symmetry_Int_Tables_number 15
_symmetry_space_group_name_Hall '-C 2yc'
_cell_length_a 10.5348
_cell_length_b 15.4701
_cell_length_c 9.3549
_cell_angle_alpha 90.00
_cell_angle_beta 124.19
_cell_angle_gamma 90.00
loop_
_atom_site_label
_atom_site_type_symbol
_atom_site_fract_x
_atom_site_fract_y
_atom_site_fract_z
_atom_site_occupancy
Dy1 Dy 0.1453 0.1238 0.0477 1
Ho1 Ho 0.0000 0.2712 0.7500 1
Ho2 Ho 0.1531 0.3781 0.5485 1
Tm1 Tm 0.0000 0.0244 0.2500 1
Tm2 Tm 0.0000 0.2300 0.2500 1
Tm3 Tm 0.0000 0.4731 0.7500 1
Tm4 Tm 0.2415 0.3819 0.2352 1
```

As for the volume: 1261 Å³/cell. The calculation puts the density of states at the Fermi level at 69.61 states/eV/cell.

---

Relative energies with respect to the most stable structure, expressed in meV per atom: i 156; ii 0.

---

i:
Below is an optimized crystal structure of Dy6HoTm, with properties calculated at the PBE level.

CIF file:
```
data_Dy6HoTm
_chemical_formula_sum 'Dy6 Ho1 Tm1'
_symmetry_space_group_name_H-M 'P -1'
_symmetry_Int_Tables_number 2
_symmetry_space_group_name_Hall '-P 1'
_cell_length_a 6.5017
_cell_length_b 6.6920
_cell_length_c 6.8606
_cell_angle_alpha 118.99
_cell_angle_beta 102.76
_cell_angle_gamma 90.15
loop_
_atom_site_label
_atom_site_type_symbol
_atom_site_fract_x
_atom_site_fract_y
_atom_site_fract_z
_atom_site_occupancy
Dy1 Dy 0.2297 0.4050 0.4771 1
Dy2 Dy 0.2494 0.9487 0.9994 1
Dy3 Dy 0.2689 0.9255 0.5200 1
Ho1 Ho 0.5000 0.5000 0.0000 1
Tm1 Tm 0.0000 0.5000 0.0000 1
```

As for the volume: 253 Å³/cell. The calculation puts the density of states at the Fermi level at 13.94 states/eV/cell.

---

ii:
Below is an optimized crystal structure of Dy6HoTm, with properties calculated at the PBE level.

CIF file:
```
data_Dy6HoTm
_chemical_formula_sum 'Dy6 Ho1 Tm1'
_symmetry_space_group_name_H-M 'P 4/m m m'
_symmetry_Int_Tables_number 123
_symmetry_space_group_name_Hall '-P 4 2'
_cell_length_a 4.9883
_cell_length_b 4.9883
_cell_length_c 9.9668
_cell_angle_alpha 90.00
_cell_angle_beta 90.00
_cell_angle_gamma 90.00
loop_
_atom_site_label
_atom_site_type_symbol
_atom_site_fract_x
_atom_site_fract_y
_atom_site_fract_z
_atom_site_occupancy
Dy1 Dy 0.0000 0.0000 0.0000 1
Dy2 Dy 0.0000 0.0000 0.5000 1
Dy3 Dy 0.0000 0.5000 0.2494 1
Ho1 Ho 0.5000 0.5000 0.5000 1
Tm1 Tm 0.5000 0.5000 0.0000 1
```

As for the volume: 248 Å³/cell. The calculation puts the density of states at the Fermi level at 11.89 states/eV/cell.

---

Relative energies with respect to the most stable structure, expressed in meV per atom: i 186; ii 0.